# 1
Entry from Alexandria: a relaxed structure of Rb5LiIn6 (GGA-PBE).

## Properties
* E_tot: -1.828 eV per atom
* Fermi-level density of states: 0.46 states/eV per atom
* formation energy from the elements: 0.104 eV/atom
* spin magnetization: 0.00 μB per cell

Geometry as POSCAR:
```
Rb5LiIn6
1.0
3.567 -6.221 0.000
3.567 6.221 0.000
-2.375 0.000 11.331
Rb Li In
5 1 6
Direct
0.000 0.000 0.000
0.165 0.835 0.500
0.318 0.682 0.000
0.682 0.318 0.000
0.835 0.165 0.500
0.500 0.500 0.500
0.182 0.430 0.271
0.317 0.317 0.739
0.430 0.182 0.271
0.570 0.818 0.729
0.683 0.683 0.261
0.818 0.570 0.729
```


# 2
Entry from Alexandria: a relaxed structure of Pr2CoRu (GGA-PBE).

## Properties
* E_tot: -6.455 eV per atom
* Fermi-level density of states: 0.79 states/eV per atom
* formation energy from the elements: 0.030 eV/atom
* spin magnetization: 0.70 μB per cell

Geometry as POSCAR:
```
Pr2CoRu
1.0
3.520 0.000 0.000
0.000 3.520 0.000
0.000 0.000 7.065
Pr Co Ru
2 1 1
Direct
0.000 0.000 0.249
0.000 0.000 0.751
0.500 0.500 0.000
0.500 0.500 0.500
```


# 3
Entry from Alexandria: a relaxed structure of Ti4Zn5Ag (GGA-PBE).

## Properties
* E_tot: -4.221 eV per atom
* Fermi-level density of states: 0.54 states/eV per atom
* formation energy from the elements: -0.141 eV/atom
* spin magnetization: 0.00 μB per cell

Geometry as POSCAR:
```
Ti4Zn5Ag
1.0
3.121 0.000 0.000
0.000 3.121 0.000
0.000 0.000 16.074
Ti Zn Ag
4 5 1
Direct
0.000 0.000 0.099
0.000 0.000 0.299
0.000 0.000 0.701
0.000 0.000 0.901
0.500 0.500 0.000
0.500 0.500 0.197
0.500 0.500 0.399
0.500 0.500 0.601
0.500 0.500 0.803
0.000 0.000 0.500
```


# 4
Entry from Alexandria: a relaxed structure of CaAg2Cl (GGA-PBE).

## Properties
* uncorrected formation energy: -585.7 meV per atom
* E_tot: -2.973 eV per atom
* Fermi-level density of states: 0.45 states/eV per atom
* spin magnetization: 0.00 μB per cell
* energy above the most stable polymorph in this dataset: 0.1096 eV per atom

Geometry as POSCAR:
```
CaAg2Cl
1.0
3.768 0.000 0.000
-1.884 3.263 0.000
0.000 0.000 26.945
Ca Ag Cl
3 6 3
Direct
0.000 0.000 0.000
0.333 0.667 0.667
0.667 0.333 0.333
0.000 0.000 0.250
0.000 0.000 0.518
0.333 0.667 0.185
0.333 0.667 0.917
0.667 0.333 0.584
0.667 0.333 0.852
0.000 0.000 0.727
0.333 0.667 0.394
0.667 0.333 0.060
```